The following is a DFT calculation (meta-GGA SCAN) of Ta2MoAsO at its PBEsol-relaxed geometry.

Summary:
Uncorrected formation energy ... -200 meV per atom
DOS(E_F) ... 3.6 states/eV/cell

The structure in POSCAR format:
```
Ta2MoAsO
1.0
-2.024 -3.409 0.516
3.280 -1.719 1.506
-1.269 1.416 4.379
Mo As O Ta
1 1 1 2
Direct
0.500 0.500 0.500
0.000 0.000 0.500
0.000 0.000 0.000
0.000 0.500 0.000
0.500 0.000 0.000
```


The following is a DFT calculation (meta-GGA SCAN) of MoAs2Os at its PBEsol-relaxed geometry.

Summary:
DOS(E_F) ... 1.8 states/eV/cell
Energy of formation ... -0.014 eV per atom

The structure in POSCAR format:
```
MoAs2Os
1.0
-1.803 -1.361 1.786
-0.985 -1.579 -2.197
5.625 -5.537 1.458
Mo Os As
1 1 2
Direct
0.000 0.000 0.520
0.500 0.500 0.742
0.000 0.000 0.944
0.500 0.500 0.294
```


The following is a DFT calculation (meta-GGA SCAN) of MoAsOs at its PBEsol-relaxed geometry.

Summary:
DOS(E_F) ... 1.7 states/eV/cell
Energy of formation ... 0.182 eV per atom

The structure in POSCAR format:
```
MoAsOs
1.0
-1.503 -1.415 1.937
0.863 -1.310 -2.356
5.438 -1.732 2.955
Mo Os As
1 1 1
Direct
0.667 0.333 0.660
0.333 0.667 0.338
0.000 0.000 0.002
```


The following is a DFT calculation (meta-GGA SCAN) of MoAsOs3 at its PBEsol-relaxed geometry.

Summary:
DOS(E_F) ... 4.6 states/eV/cell
Energy of formation ... 2.438 eV per atom

The structure in POSCAR format:
```
MoAsOs3
1.0
-1.144 -3.868 2.265
2.588 -2.479 -2.926
3.660 0.544 2.777
Mo Os As
1 3 1
Direct
0.000 0.000 0.000
0.000 0.500 0.000
0.000 0.000 0.500
0.500 0.000 0.000
0.500 0.500 0.500
```


In the order shown, the computed magnetization values come out to 0.159; 0.000; 0.000; 0.000 μB per atom.